[1]
LuZr2Co | GGA-PBE | relaxed

Lattice parameters (Å, degrees): 9.9014 9.9014 9.9014 19.42 19.42 19.42
Sites, in units of the cell vectors:
Lu 0.0000 0.0000 0.0000
Zr 0.1105 0.1105 0.1105
Zr 0.8895 0.8895 0.8895
Co 0.5000 0.5000 0.5000

- Symmetry: No. 166
- E_tot: -0.510 Ry/atom

=====

[2]
MgCo | GGA-PBE | relaxed

Lattice parameters (Å, degrees): 2.9523 2.9523 7.0772 90.00 90.00 90.00
Sites, in units of the cell vectors:
Mg 0.2500 0.2500 0.1745
Mg 0.7500 0.7500 0.8255
Co 0.2500 0.2500 0.5824
Co 0.7500 0.7500 0.4176

- Symmetry: No. 129
- E_tot: -0.315 Ry/atom